No. 1
{"formula": "Li2YZr", "functional": "PBE", "state": "relaxed", "cell": [[-2.771, -4.262, -2.774], [1.994, -1.518, -5.221], [2.211, 0.869, 5.281]], "species": ["Li", "Li", "Y", "Zr"], "frac_coords": [[0.000, 0.000, 0.000], [0.250, 0.750, 0.500], [0.500, 0.500, 0.000], [0.750, 0.250, 0.500]], "e_form_ev_per_atom": 0.378, "e_above_lowest_polymorph_mev_per_atom": 240, "energy_ev_per_atom": -4.332}

---

No. 2
{"formula": "NaPmY2", "functional": "PBE", "state": "relaxed", "cell": [[3.597, 0.000, 0.000], [0.000, 3.597, 0.000], [0.000, 0.000, 10.500]], "species": ["Y", "Pm", "Y", "Na"], "frac_coords": [[0.000, 0.000, 0.766], [0.500, 0.500, 0.000], [0.000, 0.000, 0.234], [0.500, 0.500, 0.500]], "e_form_ev_per_atom": 0.139, "e_above_lowest_polymorph_mev_per_atom": 0, "energy_ev_per_atom": -4.610}

---

No. 3
{"formula": "K4NaCd3F12", "functional": "PBE", "state": "relaxed", "cell": [[-0.066, -1.813, 7.461], [-6.751, -1.863, -3.147], [5.620, -3.866, -3.524]], "species": ["F", "K", "F", "Na", "F", "Cd", "F", "F", "F", "F", "Cd", "K", "F", "F", "K", "K", "Cd", "F", "F", "F"], "frac_coords": [[0.257, 0.257, 0.000], [0.000, 0.500, 0.000], [0.500, 0.250, 0.750], [0.000, 0.000, 0.000], [0.743, 0.000, 0.743], [0.500, 0.500, 0.000], [0.000, 0.743, 0.743], [0.257, 0.000, 0.257], [0.000, 0.257, 0.257], [0.500, 0.750, 0.250], [0.000, 0.500, 0.500], [0.000, 0.000, 0.500], [0.250, 0.500, 0.750], [0.250, 0.750, 0.500], [0.500, 0.500, 0.500], [0.500, 0.000, 0.000], [0.500, 0.000, 0.500], [0.750, 0.500, 0.250], [0.750, 0.250, 0.500], [0.743, 0.743, 0.000]], "energy_ev_per_atom": -3.936}

---

No. 4
{"formula": "LiTb3Pm3S8", "functional": "PBE", "state": "relaxed", "cell": [[7.890, 0.000, 0.000], [-3.945, 6.833, -0.024], [0.000, -4.533, 6.496]], "species": ["Pm", "S", "S", "S", "S", "S", "Pm", "Pm", "S", "S", "Tb", "Li", "Tb", "S", "Tb"], "frac_coords": [[0.500, 0.500, 0.000], [0.747, 0.495, 0.742], [0.244, 0.488, 0.738], [0.750, 0.994, 0.738], [0.756, 0.512, 0.262], [0.244, 0.994, 0.738], [0.000, 0.500, 0.000], [0.000, 0.000, 0.000], [0.253, 0.505, 0.258], [0.756, 0.006, 0.262], [0.500, 0.500, 0.500], [0.000, 0.000, 0.500], [0.000, 0.500, 0.500], [0.250, 0.006, 0.262], [0.500, 0.000, 0.500]], "energy_ev_per_atom": -6.203}

---

No. 5
{"formula": "AlCu2B", "functional": "PBE", "state": "relaxed", "cell": [[-1.197, -2.430, -2.247], [3.113, -0.015, -1.643], [3.491, -6.958, 2.907]], "species": ["Al", "Cu", "Al", "Cu", "Cu", "B", "B", "Cu"], "frac_coords": [[0.750, 0.250, 0.500], [0.595, 0.125, 0.250], [0.000, 0.000, 0.000], [0.875, 0.845, 0.750], [0.375, 0.405, 0.750], [0.500, 0.500, 0.000], [0.250, 0.750, 0.500], [0.155, 0.625, 0.250]], "e_form_ev_per_atom": 0.465, "e_above_lowest_polymorph_mev_per_atom": 162, "energy_ev_per_atom": -4.188}

---

No. 6
{"formula": "ScVSCl2", "functional": "PBE", "state": "relaxed", "cell": [[-1.930, -0.800, -4.427], [4.445, 0.407, -2.011], [0.718, -4.963, 0.583]], "species": ["S", "Cl", "Cl", "Sc", "V"], "frac_coords": [[0.000, 0.000, 0.500], [0.500, 0.000, 0.000], [0.000, 0.500, 0.000], [0.000, 0.000, 0.000], [0.500, 0.500, 0.500]], "e_above_lowest_polymorph_mev_per_atom": 0, "energy_ev_per_atom": -5.357}